# DyHoRhAu PBE relaxed
# Calculated formation energy   -3.46 eV/f.u.
# E   -0.2138 Ha/atom
# Polymorph energy (0 for the lowest one)   0.0 meV per atom
data_DyHoRhAu
_cell_length_a 3.5250
_cell_length_b 3.5250
_cell_length_c 6.9412
_cell_angle_alpha 90.00
_cell_angle_beta 90.00
_cell_angle_gamma 90.00
_space_group_name_H-M_alt 'P 4 m m'
_space_group_IT_number 99
loop_
_space_group_symop_operation_xyz
'x,y,z'
'-y,x,z'
'-x,-y,z'
'y,-x,z'
'-x,y,z'
'y,x,z'
'x,-y,z'
'-y,-x,z'
loop_
_atom_site_label
_atom_site_type_symbol
_atom_site_fract_x
_atom_site_fract_y
_atom_site_fract_z
Dy1 Dy 0.0000 0.0000 0.0000
Ho1 Ho 0.0000 0.0000 0.5253
Rh1 Rh 0.5000 0.5000 0.7613
Au1 Au 0.5000 0.5000 0.2650